Record 1
# Al2ZnSi GGA-PBE optimized geometry
# Uncorrected formation energy ... 147 meV/atom
# E_tot ... -3.398 eV per atom
data_Al2ZnSi
_chemical_formula_sum 'Al6 Zn3 Si3'
_symmetry_space_group_name_H-M 'R 3 m'
_symmetry_Int_Tables_number 160
_symmetry_space_group_name_Hall 'R 3 -2"'
_cell_length_a 2.7084
_cell_length_b 2.7084
_cell_length_c 30.4614
_cell_angle_alpha 90.00
_cell_angle_beta 90.00
_cell_angle_gamma 120.00
loop_
_atom_site_label
_atom_site_fract_x
_atom_site_fract_y
_atom_site_fract_z
Al1 0.0000 0.0000 0.0000
Al2 0.0000 0.0000 0.2539
Zn1 0.0000 0.0000 0.5007
Si1 0.0000 0.0000 0.7489

Record 2
# Al2ZnSi GGA-PBE optimized geometry
# Uncorrected formation energy ... 192 meV/atom
# E_tot ... -3.354 eV per atom
data_Al2ZnSi
_chemical_formula_sum 'Al4 Zn2 Si2'
_symmetry_space_group_name_H-M 'C m m 2'
_symmetry_Int_Tables_number 35
_symmetry_space_group_name_Hall 'C 2 -2'
_cell_length_a 2.614
_cell_length_b 5.032
_cell_length_c 9.936
_cell_angle_alpha 90.00
_cell_angle_beta 90.00
_cell_angle_gamma 90.00
loop_
_atom_site_label
_atom_site_fract_x
_atom_site_fract_y
_atom_site_fract_z
Al1 0.000 0.000 0.000
Al2 0.000 0.500 0.258
Zn1 0.000 0.500 0.747
Si1 0.000 0.000 0.501

Record 3
# AlZn2Si GGA-PBE optimized geometry
# Uncorrected formation energy ... 277 meV/atom
# E_tot ... -2.652 eV per atom
data_AlZn2Si
_chemical_formula_sum 'Al4 Zn8 Si4'
_symmetry_space_group_name_H-M 'F m -3 m'
_symmetry_Int_Tables_number 225
_symmetry_space_group_name_Hall '-F 4 2 3'
_cell_length_a 6.379
_cell_length_b 6.379
_cell_length_c 6.379
_cell_angle_alpha 90.00
_cell_angle_beta 90.00
_cell_angle_gamma 90.00
loop_
_atom_site_label
_atom_site_fract_x
_atom_site_fract_y
_atom_site_fract_z
Al1 0.000 0.000 0.000
Zn1 0.250 0.250 0.250
Si1 0.000 0.000 0.500

What did the first record say?
# Al2ZnSi GGA-PBE optimized geometry
# Uncorrected formation energy ... 147 meV/atom
# E_tot ... -3.398 eV per atom
data_Al2ZnSi
_chemical_formula_sum 'Al6 Zn3 Si3'
_symmetry_space_group_name_H-M 'R 3 m'
_symmetry_Int_Tables_number 160
_symmetry_space_group_name_Hall 'R 3 -2"'
_cell_length_a 2.7084
_cell_length_b 2.7084
_cell_length_c 30.4614
_cell_angle_alpha 90.00
_cell_angle_beta 90.00
_cell_angle_gamma 120.00
loop_
_atom_site_label
_atom_site_fract_x
_atom_site_fract_y
_atom_site_fract_z
Al1 0.0000 0.0000 0.0000
Al2 0.0000 0.0000 0.2539
Zn1 0.0000 0.0000 0.5007
Si1 0.0000 0.0000 0.7489

Repeat the second record exactly.
# Al2ZnSi GGA-PBE optimized geometry
# Uncorrected formation energy ... 192 meV/atom
# E_tot ... -3.354 eV per atom
data_Al2ZnSi
_chemical_formula_sum 'Al4 Zn2 Si2'
_symmetry_space_group_name_H-M 'C m m 2'
_symmetry_Int_Tables_number 35
_symmetry_space_group_name_Hall 'C 2 -2'
_cell_length_a 2.614
_cell_length_b 5.032
_cell_length_c 9.936
_cell_angle_alpha 90.00
_cell_angle_beta 90.00
_cell_angle_gamma 90.00
loop_
_atom_site_label
_atom_site_fract_x
_atom_site_fract_y
_atom_site_fract_z
Al1 0.000 0.000 0.000
Al2 0.000 0.500 0.258
Zn1 0.000 0.500 0.747
Si1 0.000 0.000 0.501

Question: What is the uncorrected formation energy in the second record?
Answer: 192 meV/atom